# Li2MnCr3O8

A relaxed Li2MnCr3O8 crystal (PBE with a Hubbard U, Alexandria via LeMat-Bulk).

a b c (Å): 5.887 5.887 9.381
angles (deg): 90.00 90.00 120.00
Positions (direct):
Li1 0.000 0.000 0.000
Li2 0.000 0.000 0.500
Li3 0.333 0.667 0.402
Li4 0.667 0.333 0.902
Mn1 0.333 0.667 0.987
Mn2 0.667 0.333 0.487
Cr1 0.170 0.339 0.715
Cr2 0.170 0.830 0.715
Cr3 0.339 0.170 0.215
Cr4 0.661 0.830 0.715
Cr5 0.830 0.170 0.215
Cr6 0.830 0.661 0.215
O1 0.000 0.000 0.312
O2 0.000 0.000 0.812
O3 0.043 0.521 0.848
O4 0.167 0.334 0.104
O5 0.167 0.833 0.104
O6 0.333 0.667 0.607
O7 0.334 0.167 0.604
O8 0.479 0.521 0.848
O9 0.479 0.957 0.848
O10 0.521 0.043 0.348
O11 0.521 0.479 0.348
O12 0.666 0.833 0.104
O13 0.667 0.333 0.107
O14 0.833 0.167 0.604
O15 0.833 0.666 0.604
O16 0.957 0.479 0.348

Output
- Offset from the most stable computed form: 55 meV per atom
- Symmetry: P6_3mc (186)